(1)
PmMgScCd: relaxed, PBE-GGA.

Structure (POSCAR):
```
PmMgScCd
1.0
-2.462 -4.612 0.420
1.951 -4.242 -2.391
2.132 -3.862 2.838
Cd Pm Sc Mg
1 1 1 1
Direct
0.750 0.750 0.750 Cd
0.500 0.500 0.500 Pm
0.000 0.000 0.000 Sc
0.250 0.250 0.250 Mg
```


(2)
Th2Ni4As3Rh: relaxed, PBE-GGA.

Structure (POSCAR):
```
Th2Ni4As3Rh
1.0
4.038 0.000 0.000
0.000 4.038 0.000
0.000 0.000 10.224
Ni Th Rh As
4 2 1 3
Direct
0.000 0.500 0.350 Ni
0.500 0.000 0.650 Ni
0.500 0.500 0.000 Ni
0.000 0.000 0.000 Ni
0.500 0.000 0.253 Th
0.000 0.500 0.747 Th
0.500 0.500 0.500 Rh
0.000 0.000 0.500 As
0.500 0.000 0.876 As
0.000 0.500 0.124 As
```


(3)
Y2GaNi: relaxed, PBE-GGA.

Structure (POSCAR):
```
Y2GaNi
1.0
3.444 0.000 0.000
0.000 3.444 0.000
0.000 0.000 7.196
Y Ga Ni
2 1 1
Direct
0.000 0.000 0.768 Y
0.000 0.000 0.232 Y
0.500 0.500 0.500 Ga
0.500 0.500 0.000 Ni
```


(4)
RbLiZn2Ir: relaxed, PBE-GGA.

Structure (POSCAR):
```
RbLiZn2Ir
1.0
-4.870 0.464 0.728
-0.741 -0.112 -4.889
-0.446 -4.965 0.181
Li Ir Zn Rb
1 1 2 1
Direct
0.000 0.000 0.500 Li
0.000 0.000 0.000 Ir
0.000 0.500 0.000 Zn
0.500 0.000 0.000 Zn
0.500 0.500 0.500 Rb
```


Quick rundown of total DFT energy (no corrections), same order as above: -3.58, -6.68, -5.92, -2.85 eV per atom
Quick rundown of DOS at the Fermi energy, same order as above: 1.1748, 0.7771, 0.7763, 0.4053 states/eV per atom
Quick rundown of energy relative to the elements, same order as above: -178, -755, -481, 10 meV/atom